This record from Alexandria describes an optimized crystal structure of K2SmAlSe4. The functional is PBE-GGA.

SG: Imma, No. 74
ΔE_f (raw): -1.27 eV per atom
total magnetization: 0.00 Bohr magnetons per cell

a b c (Å): 8.5571 8.5571 8.5571
angles (deg): 122.28 118.24 89.59
Last column: nearest neighbours and their distance in Å.
Element x y z (fractional)
K: 0.0000 0.0000 0.0000  6 Se 3.13-3.15
K: 0.5000 0.0000 0.0000  6 Se 3.34-3.35
K: 0.5000 0.0000 0.5000  6 Se 3.13-3.15
K: 0.5000 0.5000 0.5000  6 Se 3.34-3.35
Sm: 0.0000 0.5000 0.5000  6 Se 2.94-2.98
Sm: 0.5000 0.5000 0.0000  6 Se 2.94-2.98
Al: 0.0000 0.0000 0.5000  6 Se 2.71-2.74
Al: 0.0000 0.5000 0.0000  6 Se 2.71-2.74
Se: 0.1923 0.7429 0.4494  2 Al 2.71, 1 Sm 2.98
Se: 0.2065 0.2571 0.9494  2 Al 2.71, 1 Sm 2.98
Se: 0.2253 0.2420 0.5167  1 Al 2.74, 2 Sm 2.94
Se: 0.2253 0.7085 0.9833  1 Al 2.74, 2 Sm 2.94
Se: 0.7747 0.2915 0.0167  1 Al 2.74, 2 Sm 2.94
Se: 0.7747 0.7580 0.4833  1 Al 2.74, 2 Sm 2.94
Se: 0.7935 0.7429 0.0506  2 Al 2.71, 1 Sm 2.98
Se: 0.8077 0.2571 0.5506  2 Al 2.71, 1 Sm 2.98